Entry a
Density functional theory data (PBE) for a relaxed structure of ReNi2Au.

Unit cell a=4.236 b=4.236 c=4.236 alpha=60.00 beta=60.00 gamma=60.00
Fractional positions:
Re 0.000 0.000 0.000
Au 0.500 0.500 0.500
Ni 0.250 0.250 0.250
Ni 0.750 0.750 0.750

Computed properties:
- Density of states at the Fermi level: 2.3 states/eV/f.u.
- Spin magnetization: 0.0 Bohr magnetons per cell
- Symmetry: No. 225

=====

Entry b
Density functional theory data (PBE) for a relaxed structure of ReNi2Au.

Unit cell a=2.717 b=2.717 c=7.384 alpha=90.00 beta=90.00 gamma=90.00
Each line ends with the local moment (μB).
Fractional positions:
Au 0.500 0.500 0.764  0.01
Ni 0.000 0.000 0.026  0.36
Ni 0.500 0.500 0.241  0.03
Re 0.000 0.000 0.469  0.01

Computed properties:
- Density of states at the Fermi level: 3.3 states/eV/f.u.
- Spin magnetization: 0.4 Bohr magnetons per cell
- Symmetry: No. 99

=====

Entry c
Density functional theory data (PBE) for a relaxed structure of ReNi2Au.

Unit cell a=4.456 b=4.456 c=4.931 alpha=82.25 beta=82.25 gamma=34.95
Fractional positions:
Au 0.250 0.250 0.250
Ni 0.004 0.004 0.965
Ni 0.496 0.496 0.535
Re 0.750 0.750 0.750

Computed properties:
- Density of states at the Fermi level: 2.8 states/eV/f.u.
- Spin magnetization: 0.0 Bohr magnetons per cell
- Symmetry: No. 12

=====

If we sort the structures by their calculated energies, the order from most to least stable is entry c, entry b, entry a.